No. 1
Compound: AcTm2Zn2Sn2
Source: Alexandria
Functional: PBE
Structure: optimized geometry

ΔH_f (0 K)	-0.334	eV/atom
electronic total energy	-77.84	eV per cell
mass density	8.34	g/cm³
DOS at the Fermi energy	0.927	states/eV/atom

Geometry as CIF:
```
data_AcTm2Zn2Sn2
_space_group_name_H-M_alt 'R -3 m'
_space_group_IT_number 166
_space_group_name_Hall '-R 3 2"'
_cell_length_a 4.8358
_cell_length_b 4.8358
_cell_length_c 27.5287
_cell_angle_alpha 90.00
_cell_angle_beta 90.00
_cell_angle_gamma 120.00
loop_
_atom_site_label
_atom_site_type_symbol
_atom_site_fract_x
_atom_site_fract_y
_atom_site_fract_z
Ac1 Ac 0.0000 0.0000 0.0000
Tm1 Tm 0.0000 0.0000 0.1342
Zn1 Zn 0.0000 0.0000 0.4361
Sn1 Sn 0.0000 0.0000 0.2580
```

No. 2
Compound: Rb3Sm2SbTe6
Source: Alexandria
Functional: PBE
Structure: optimized geometry

electronic total energy	-97.10	eV per cell
energy relative to the elements, uncorrected	-13.238	eV per formula unit
mass density	5.11	g/cm³
DOS at the Fermi energy	0.000	states/eV/atom

Geometry as CIF:
```
data_Rb3Sm2SbTe6
_space_group_name_H-M_alt 'C 1 2/m 1'
_space_group_IT_number 12
_space_group_name_Hall '-C 2y'
_cell_length_a 7.9687
_cell_length_b 13.8021
_cell_length_c 8.9379
_cell_angle_alpha 90.00
_cell_angle_beta 107.30
_cell_angle_gamma 90.00
loop_
_atom_site_label
_atom_site_type_symbol
_atom_site_fract_x
_atom_site_fract_y
_atom_site_fract_z
Rb1 Rb 0.0000 0.0000 0.0000
Rb2 Rb 0.0000 0.3325 0.0000
Sm1 Sm 0.0000 0.1666 0.5000
Sb1 Sb 0.0000 0.5000 0.5000
Te1 Te 0.2306 0.3360 0.6998
Te2 Te 0.2388 0.0000 0.7001
```

No. 3
Compound: V2ZnHRh
Source: Alexandria
Functional: PBE
Structure: optimized geometry

electronic total energy	-31.01	eV per cell
mass density	7.92	g/cm³
ΔE to the lowest computed polymorph	0.0	meV per atom
DOS at the Fermi energy	0.795	states/eV/atom

Geometry as CIF:
```
data_V2ZnHRh
_space_group_name_H-M_alt 'P 4/m m m'
_space_group_IT_number 123
_space_group_name_Hall '-P 4 2'
_cell_length_a 3.8133
_cell_length_b 3.8133
_cell_length_c 3.9125
_cell_angle_alpha 90.00
_cell_angle_beta 90.00
_cell_angle_gamma 90.00
loop_
_atom_site_label
_atom_site_type_symbol
_atom_site_fract_x
_atom_site_fract_y
_atom_site_fract_z
V1 V 0.0000 0.5000 0.0000
Zn1 Zn 0.0000 0.0000 0.5000
H1 H 0.5000 0.5000 0.0000
Rh1 Rh 0.5000 0.5000 0.5000
```

No. 4
Compound: Nd5Y4Th2
Source: Alexandria
Functional: PBE
Structure: optimized geometry

ΔH_f (0 K)	0.119	eV/atom
electronic total energy	-63.23	eV per cell
mass density	6.80	g/cm³
ΔE to the lowest computed polymorph	0.0	meV per atom
DOS at the Fermi energy	1.905	states/eV/atom

Geometry as CIF:
```
data_Nd5Y4Th2
_space_group_name_H-M_alt 'P 1 2/m 1'
_space_group_IT_number 10
_space_group_name_Hall '-P 2y'
_cell_length_a 8.9577
_cell_length_b 3.5316
_cell_length_c 11.9211
_cell_angle_alpha 90.00
_cell_angle_beta 93.93
_cell_angle_gamma 90.00
loop_
_atom_site_label
_atom_site_type_symbol
_atom_site_fract_x
_atom_site_fract_y
_atom_site_fract_z
Nd1 Nd 0.0000 0.0000 0.0000
Nd2 Nd 0.0795 0.0000 0.2896
Nd3 Nd 0.3042 0.0000 0.8327
Y1 Y 0.1983 0.5000 0.5482
Y2 Y 0.3433 0.5000 0.1057
Th1 Th 0.4576 0.0000 0.3685
```

No. 5
Compound: Pr4Te3N
Source: Alexandria
Functional: PBE
Structure: optimized geometry

electronic total energy	-92.86	eV per cell
energy relative to the elements, uncorrected	-9.563	eV per formula unit
mass density	5.88	g/cm³
DOS at the Fermi energy	0.516	states/eV/atom

Geometry as CIF:
```
data_Pr4Te3N
_space_group_name_H-M_alt 'P m n 21'
_space_group_IT_number 31
_space_group_name_Hall 'P 2ac -2'
_cell_length_a 10.5605
_cell_length_b 8.2616
_cell_length_c 6.2157
_cell_angle_alpha 90.00
_cell_angle_beta 90.00
_cell_angle_gamma 90.00
loop_
_atom_site_label
_atom_site_type_symbol
_atom_site_fract_x
_atom_site_fract_y
_atom_site_fract_z
Pr1 Pr 0.0000 0.1299 0.0000
Pr2 Pr 0.0000 0.8546 0.4744
Pr3 Pr 0.2042 0.2460 0.4621
Te1 Te 0.0000 0.7498 0.9789
Te2 Te 0.2386 0.3537 0.9652
N1 N 0.0000 0.1379 0.3935
```

No. 6
Compound: FeW3
Source: Alexandria
Functional: PBE
Structure: optimized geometry

ΔH_f (0 K)	0.330	eV/atom
electronic total energy	-46.00	eV per cell
mass density	16.64	g/cm³
DOS at the Fermi energy	1.316	states/eV/atom

Geometry as CIF:
```
data_FeW3
_space_group_name_H-M_alt 'P m -3 m'
_space_group_IT_number 221
_space_group_name_Hall '-P 4 2 3'
_cell_length_a 3.9280
_cell_length_b 3.9280
_cell_length_c 3.9280
_cell_angle_alpha 90.00
_cell_angle_beta 90.00
_cell_angle_gamma 90.00
loop_
_atom_site_label
_atom_site_type_symbol
_atom_site_fract_x
_atom_site_fract_y
_atom_site_fract_z
Fe1 Fe 0.0000 0.0000 0.0000
W1 W 0.0000 0.5000 0.5000
```